Below is an optimized crystal structure of Sr4GeP, with properties calculated at the PBE level.

Properties
total moment	0.000	μB/atom
E_form	-0.68	eV/atom

Cell and atoms, written as CIF:
```
data_Sr4GeP
_chemical_formula_sum 'Sr4 Ge1 P1'
_cell_length_a 5.2908
_cell_length_b 5.2913
_cell_length_c 7.4636
_cell_angle_alpha 89.99
_cell_angle_beta 89.99
_cell_angle_gamma 90.00
_space_group_name_H-M_alt 'P 1'
_space_group_IT_number 1
loop_
_space_group_symop_operation_xyz
'x,y,z'
loop_
_atom_site_label
_atom_site_fract_x
_atom_site_fract_y
_atom_site_fract_z
Sr1 0.5012 0.9970 0.2522
Sr2 0.5014 0.9976 0.7441
Sr3 0.0014 0.4975 0.7441
Sr4 0.0012 0.4970 0.2522
Ge1 0.5013 0.4973 0.9981
P1 0.0013 0.9973 0.4981
```


Below is an optimized crystal structure of Dy2Er9Tm3, with properties calculated at the PBE level.

Properties
total moment	0.000	μB/atom
E_form	0.33	eV/atom

Cell and atoms, written as CIF:
```
data_Dy2Er9Tm3
_chemical_formula_sum 'Dy2 Er9 Tm3'
_cell_length_a 5.2439
_cell_length_b 12.5628
_cell_length_c 12.5627
_cell_angle_alpha 47.88
_cell_angle_beta 51.24
_cell_angle_gamma 51.24
_space_group_name_H-M_alt 'P 1'
_space_group_IT_number 1
loop_
_space_group_symop_operation_xyz
'x,y,z'
loop_
_atom_site_label
_atom_site_fract_x
_atom_site_fract_y
_atom_site_fract_z
Dy1 0.5000 0.2406 0.7594
Dy2 0.5000 0.7594 0.2406
Er1 0.0000 0.5000 0.5000
Er2 0.3654 0.1080 0.6485
Er3 0.6346 0.8920 0.3515
Er4 0.3654 0.6485 0.1080
Er5 0.6346 0.3515 0.8920
Er6 0.9082 0.8497 0.5447
Er7 0.0918 0.1503 0.4553
Er8 0.9082 0.5447 0.8497
Er9 0.0918 0.4553 0.1503
Tm1 0.0000 0.0000 0.0000
Tm2 0.9849 0.1717 0.1717
Tm3 0.0151 0.8283 0.8283
```